# 1
# MnVP4O14

An optimized crystal structure of MnVP4O14 (GGA+U, Alexandria).

Lattice parameters (Å, degrees): 4.8392 8.1707 7.0367 92.58 106.31 88.56
Each line ends with the local moment (μB).
Atoms (fractional coordinates):
O  0.7135  0.8654  0.5097  0.03
O  0.5703  0.1838  0.3586  -0.02
Mn  0.7851  0.0041  0.2672  3.87
P  0.3872  0.1846  0.5018  0.01
O  0.4031  0.6712  0.6319  0.00
O  0.1478  0.0618  0.4631  -0.01
P  0.7710  0.2751  0.8897  0.01
O  0.1683  0.6547  0.9238  -0.01
O  0.9697  0.8161  0.1657  -0.02
O  0.2711  0.3633  0.5228  -0.01
O  0.8675  0.1857  0.0765  0.03
O  0.8513  0.5629  0.5516  0.00
P  0.6086  0.6946  0.5013  0.01
O  0.5895  0.1496  0.7211  0.00
O  0.5647  0.4254  0.8930  0.00
O  0.4281  0.6440  0.2766  0.00
O  0.4261  0.9125  0.0924  -0.02
V  0.2118  0.5046  0.7252  0.04
P  0.2454  0.7687  0.1135  0.01
O  0.0252  0.3356  0.8192  0.00

Properties
For the calculated volume, the calculation gives 13.3 Å³/atom. Its uncorrected energy is -7.309 eV/atom. The value obtained for the magnetic moment is 4.00 μB per cell.

---

# 2
# Mn3VP4O16

An optimized crystal structure of Mn3VP4O16 (GGA+U, Alexandria).

Lattice parameters (Å, degrees): 5.9986 4.9055 9.9387 89.19 90.00 90.00
Each line ends with the local moment (μB).
Atoms (fractional coordinates):
O  0.5000  0.7688  0.6038  0.00
O  0.5000  0.3550  0.9545  -0.03
Mn  0.0000  0.4200  0.2163  4.01
O  0.5000  0.7176  0.1284  -0.04
O  0.8048  0.7812  0.8290  -0.01
O  0.5000  0.1668  0.4417  -0.03
O  0.2022  0.7564  0.3361  0.00
O  0.0000  0.3156  0.8655  0.00
P  0.5000  0.0750  0.5899  0.01
P  0.0000  0.6195  0.9007  0.01
O  0.0000  0.8395  0.5581  -0.03
O  0.2926  0.2102  0.6653  -0.03
O  0.0000  0.2104  0.3823  -0.04
O  0.0000  0.6513  0.0534  -0.03
O  0.1952  0.7812  0.8290  -0.01
O  0.7015  0.2606  0.1757  0.00
Mn  0.5000  0.9267  0.2885  3.96
P  0.0000  0.8986  0.4034  0.01
O  0.2985  0.2606  0.1757  0.00
O  0.7978  0.7564  0.3361  0.00
V  0.0000  0.0558  0.7178  1.19
O  0.7074  0.2102  0.6653  -0.03
Mn  0.5000  0.5557  0.7789  4.57
P  0.5000  0.4067  0.1044  0.02

Properties
The calculation puts the density of states at the Fermi level at 0.03 states/eV per atom. For the calculated volume, the calculation gives 12.2 Å³/atom. Its uncorrected energy is -7.479 eV/atom. The value obtained for the magnetic moment is 14.00 μB per cell.

---

# 3
# MnV5P6O24

An optimized crystal structure of MnV5P6O24 (GGA+U, Alexandria).

Lattice parameters (Å, degrees): 8.5627 8.5627 8.5627 60.76 60.76 60.76
Each line ends with the local moment (μB).
Atoms (fractional coordinates):
O  0.1908  0.9933  0.3879  -0.01
P  0.0465  0.4494  0.7506  0.01
O  0.5657  0.4135  0.7573  -0.03
V  0.4994  0.4994  0.4994  2.66
O  0.5878  0.2437  0.4261  -0.02
Mn  0.8532  0.8532  0.8532  4.58
V  0.3548  0.3548  0.3548  1.13
O  0.5000  0.6841  0.8831  -0.02
O  0.4135  0.7573  0.5657  -0.03
O  0.6841  0.8831  0.5000  -0.02
O  0.7573  0.5657  0.4135  -0.03
O  0.8831  0.5000  0.6841  -0.02
O  0.4894  0.3331  0.1114  -0.02
O  0.0568  0.2488  0.9064  -0.03
P  0.4494  0.7506  0.0465  0.01
P  0.5438  0.2541  0.9570  0.01
P  0.7506  0.0465  0.4494  0.01
V  0.6451  0.6451  0.6451  1.14
O  0.2488  0.9064  0.0568  -0.03
P  0.2541  0.9570  0.5438  0.01
O  0.1114  0.4894  0.3331  -0.02
V  0.9979  0.9979  0.9979  2.18
O  0.3331  0.1114  0.4894  -0.02
O  0.5949  0.8180  0.0203  0.01
O  0.8180  0.0203  0.5949  0.01
O  0.0203  0.5949  0.8180  0.01
O  0.7402  0.0990  0.9536  -0.02
O  0.3879  0.1908  0.9933  -0.01
O  0.4261  0.5878  0.2437  -0.02
O  0.9064  0.0568  0.2488  -0.03
V  0.1428  0.1428  0.1428  1.84
P  0.9570  0.5438  0.2541  0.01
O  0.9536  0.7402  0.0990  -0.02
O  0.9933  0.3879  0.1908  -0.01
O  0.2437  0.4261  0.5878  -0.02
O  0.0990  0.9536  0.7402  -0.02

Properties
The calculation puts the density of states at the Fermi level at 0.32 states/eV per atom. For the calculated volume, the calculation gives 12.5 Å³/atom. Its uncorrected energy is -7.570 eV/atom. The value obtained for the magnetic moment is 14.00 μB per cell.

---

# 4
# Mn2VPO7

An optimized crystal structure of Mn2VPO7 (GGA+U, Alexandria).

Lattice parameters (Å, degrees): 4.8660 5.5032 5.5033 106.34 97.49 97.49
Each line ends with the local moment (μB).
Atoms (fractional coordinates):
P  0.8745  0.3948  0.3948  0.01
V  0.6856  0.8577  0.8577  0.33
O  0.0311  0.9987  0.9987  -0.02
O  0.7484  0.5938  0.5938  0.00
O  0.0539  0.2490  0.5389  0.03
Mn  0.2792  0.9339  0.3163  4.62
O  0.4924  0.0259  0.6949  -0.02
O  0.0539  0.5389  0.2490  0.03
Mn  0.2792  0.3163  0.9339  4.62
O  0.6095  0.2116  0.2116  0.03
O  0.4924  0.6949  0.0258  -0.02

Properties
The calculation puts the density of states at the Fermi level at 0.00 states/eV per atom. For the calculated volume, the calculation gives 12.5 Å³/atom. Its uncorrected energy is -7.702 eV/atom. The value obtained for the magnetic moment is 10.00 μB per cell.

---

# 5
# MnVPO2

An optimized crystal structure of MnVPO2 (GGA+U, Alexandria).

Lattice parameters (Å, degrees): 3.6997 3.6997 5.1200 90.00 90.00 90.00
Each line ends with the local moment (μB).
Atoms (fractional coordinates):
Mn  0.5000  0.5000  0.5000  4.51
V  0.0000  0.0000  0.0000  0.75
O  0.5000  0.0000  0.0000  -0.09
P  0.0000  0.0000  0.5000  -0.21
O  0.0000  0.5000  0.0000  -0.09

Properties
The calculation puts the density of states at the Fermi level at 0.11 states/eV per atom. For the calculated volume, the calculation gives 14.0 Å³/atom. Its uncorrected energy is -6.955 eV/atom. The value obtained for the magnetic moment is 5.00 μB per cell.

---

# 6
# MnV3P6O24

An optimized crystal structure of MnV3P6O24 (GGA+U, Alexandria).

Lattice parameters (Å, degrees): 8.7076 8.7076 8.7076 57.72 57.72 57.72
Each line ends with the local moment (μB).
Atoms (fractional coordinates):
O  0.9696  0.0590  0.6903  -0.01
O  0.3049  0.4935  0.1294  0.00
P  0.5253  0.9677  0.2536  0.00
O  0.4935  0.1294  0.3049  0.00
O  0.6903  0.9696  0.0590  -0.01
O  0.9794  0.2692  0.3345  -0.04
O  0.3345  0.9794  0.2692  -0.04
O  0.2306  0.5947  0.4029  0.00
O  0.5036  0.8712  0.6990  -0.02
O  0.0590  0.6903  0.9696  -0.01
O  0.4121  0.5885  0.7714  -0.02
P  0.4655  0.0340  0.7541  0.00
O  0.5947  0.4029  0.2306  0.00
O  0.2692  0.3345  0.9794  -0.04
O  0.4029  0.2306  0.5947  0.00
V  0.6408  0.6408  0.6408  0.04
P  0.0340  0.7541  0.4655  0.00
O  0.7714  0.4121  0.5885  -0.02
P  0.2536  0.5253  0.9677  0.00
O  0.3027  0.0197  0.9521  -0.03
P  0.9677  0.2536  0.5253  0.00
O  0.8712  0.6990  0.5036  -0.02
V  0.3607  0.3607  0.3607  0.03
O  0.7469  0.6524  0.0195  -0.01
O  0.0197  0.9521  0.3027  -0.03
V  0.8563  0.8563  0.8563  1.01
O  0.9521  0.3027  0.0197  -0.03
O  0.1294  0.3049  0.4935  0.00
P  0.7541  0.4655  0.0340  0.00
Mn  0.1449  0.1449  0.1449  3.19
O  0.6990  0.5036  0.8712  -0.02
O  0.5885  0.7714  0.4121  -0.02
O  0.0195  0.7469  0.6524  -0.01
O  0.6524  0.0195  0.7469  -0.01

Properties
For the calculated volume, the calculation gives 13.0 Å³/atom. Its uncorrected energy is -7.326 eV/atom. The value obtained for the magnetic moment is 4.00 μB per cell.

---

# 7
# MnV2PO8

An optimized crystal structure of MnV2PO8 (GGA+U, Alexandria).

Lattice parameters (Å, degrees): 4.3800 4.3792 5.9787 90.00 90.00 89.70
Each line ends with the local moment (μB).
Atoms (fractional coordinates):
V  0.5000  0.5000  0.7556  1.14
O  0.3064  0.3061  0.5000  -0.08
Mn  0.0000  0.0000  0.5000  3.90
O  0.6936  0.6939  0.5000  -0.08
V  0.5000  0.5000  0.2444  1.14
P  0.0000  0.0000  0.0000  0.02
O  0.1902  0.8095  0.7880  -0.04
O  0.1902  0.8095  0.2120  -0.04
O  0.7204  0.7208  0.0000  -0.03
O  0.2796  0.2792  0.0000  -0.03
O  0.8098  0.1905  0.2120  -0.04
O  0.8098  0.1905  0.7880  -0.04

Properties
For the calculated volume, the calculation gives 9.6 Å³/atom. Its uncorrected energy is -7.470 eV/atom. The value obtained for the magnetic moment is 6.00 μB per cell.

---

# 8
# Mn2V3P6WO24

An optimized crystal structure of Mn2V3P6WO24 (GGA+U, Alexandria).

Lattice parameters (Å, degrees): 8.6507 8.6507 8.6507 60.45 60.45 60.45
Each line ends with the local moment (μB).
Atoms (fractional coordinates):
O  0.1159  0.5088  0.3048  0.00
O  0.4463  0.5897  0.2399  0.00
O  0.3875  0.1855  0.9941  -0.02
O  0.8897  0.4994  0.6823  -0.02
W  0.8570  0.8570  0.8570  1.04
P  0.9573  0.5379  0.2533  0.01
O  0.9941  0.3875  0.1855  -0.02
O  0.7387  0.0878  0.9355  0.00
P  0.5379  0.2533  0.9573  0.01
O  0.0019  0.6125  0.8169  0.00
O  0.8169  0.0019  0.6125  0.00
O  0.5088  0.3048  0.1159  0.00
V  0.3574  0.3574  0.3574  1.88
O  0.0602  0.2617  0.9087  -0.01
O  0.4994  0.6823  0.8897  -0.02
O  0.1855  0.9941  0.3875  -0.02
O  0.4094  0.7612  0.5616  -0.01
O  0.5897  0.2399  0.4463  0.00
Mn  0.0042  0.0042  0.0042  -0.95
O  0.9087  0.0602  0.2617  -0.01
P  0.4534  0.7463  0.0460  0.01
P  0.7463  0.0460  0.4534  0.01
O  0.2399  0.4463  0.5897  0.00
O  0.6125  0.8169  0.0019  0.00
O  0.3048  0.1159  0.5088  0.00
O  0.6823  0.8897  0.4994  -0.02
O  0.7612  0.5616  0.4094  -0.01
O  0.9355  0.7387  0.0878  0.00
O  0.5616  0.4094  0.7612  -0.01
Mn  0.5021  0.5021  0.5021  -0.95
O  0.0878  0.9355  0.7387  0.00
V  0.6424  0.6424  0.6424  1.94
P  0.0460  0.4534  0.7463  0.01
P  0.2533  0.9573  0.5379  0.01
V  0.1426  0.1426  0.1426  1.95
O  0.2617  0.9087  0.0602  -0.01

Properties
The calculation puts the density of states at the Fermi level at 0.33 states/eV per atom. For the calculated volume, the calculation gives 12.8 Å³/atom. Its uncorrected energy is -7.420 eV/atom. The value obtained for the magnetic moment is 5.00 μB per cell.